Y4SiHS2: relaxed, GGA-PBE.

```
Y4SiHS2
1.0
5.537 0.315 0.000
-0.289 5.538 0.000
-2.624 -2.926 5.585
H S Y Si
1 2 4 1
direct
0.404 0.404 0.000
0.190 0.690 0.500
0.690 0.190 0.500
0.436 0.962 0.000
0.693 0.693 0.507
0.186 0.186 0.493
0.962 0.436 0.000
0.935 0.935 0.000
```

- Raw total energy: -6.630 eV per atom
- SG: No. 42